Crystalline Ba3Li7Ag4 at its relaxed geometry, computed with PBE.

Structure (POSCAR):
```
Ba3Li7Ag4
1.0
-1.9911 1.8931 -3.8305
-7.5611 -5.0973 -1.4895
-7.4195 4.7302 3.2939
Li Ba Ag
7 3 4
direct
0.5049 0.7772 0.2130
0.3140 0.8625 0.5096
0.4951 0.2228 0.7870
0.6860 0.1375 0.4904
0.8469 0.3875 0.9187
0.1531 0.6125 0.0813
0.0000 0.0000 0.0000
0.0000 0.5000 0.5000
0.6958 0.8083 0.8002
0.3042 0.1917 0.1998
0.1079 0.1071 0.6770
0.8921 0.8929 0.3230
0.6609 0.4677 0.2104
0.3391 0.5323 0.7896
```

Output
Crystal system   monoclinic
DFT total energy   -2.33 eV/atom
N(E_F)   7.10 states/eV/f.u.
Size of the total moment   0.000 μB per atom
Energy relative to the elements   -14.0 kJ per mole of atoms